64
Lattice="9.944 0.000 0.000 0.000 16.312 0.000 -6.971 0.000 11.308" Properties=species:S:1:pos:R:3 comment="PBEsol Tb5C2Br9, relaxed" raw_formation_energy_ev_per_atom=-1.5901 final_energy_ev_per_fu=-86.6 spacegroup="No. 14" pbc="T T T"
Tb -1.792 0.914 2.985
Tb -5.277 7.242 8.639
Tb -4.920 10.823 8.172
Tb -1.434 13.645 2.518
Tb 1.367 0.675 0.407
Tb -2.119 7.481 6.060
Tb -1.710 11.203 6.276
Tb 1.776 13.265 0.623
Tb -2.082 9.105 9.214
Tb 1.404 15.363 3.560
Tb 1.569 0.949 7.748
Tb 5.055 7.207 2.094
Tb 1.198 3.047 10.685
Tb 4.683 5.109 5.031
Tb 5.092 8.831 5.247
Tb 1.606 15.637 10.901
Tb 4.407 2.667 8.789
Tb 7.893 5.489 3.136
Tb 8.250 9.070 2.669
Tb 4.765 15.398 8.322
C -3.951 8.661 7.579
C -0.465 15.807 1.925
C -3.039 9.600 7.017
C 0.447 14.868 1.364
C 2.526 1.444 9.944
C 6.012 6.712 4.290
C 3.438 0.505 9.383
C 6.924 7.651 3.729
Br -0.357 3.233 1.927
Br -3.842 4.923 7.581
Br -3.637 1.130 7.362
Br -0.152 7.026 1.708
Br -0.005 11.292 1.585
Br -3.490 13.176 7.239
Br -3.911 2.836 10.955
Br -0.425 5.320 5.301
Br -0.076 9.255 5.007
Br -3.561 15.213 10.661
Br -3.507 11.139 10.638
Br -0.022 13.329 4.984
Br -0.037 0.960 5.204
Br -3.523 7.196 10.858
Br 3.027 1.043 2.689
Br -0.459 7.113 8.343
Br -0.313 2.953 8.413
Br 3.173 5.203 2.759
Br -0.200 11.109 8.548
Br 3.286 13.359 2.895
Br 3.432 9.199 2.965
Br -0.054 15.269 8.619
Br 6.496 9.116 0.450
Br 3.010 15.352 6.104
Br 2.995 2.983 6.324
Br 6.480 5.173 0.670
Br 6.534 1.099 0.647
Br 3.049 7.057 6.301
Br 3.398 10.993 6.007
Br 6.884 13.476 0.353
Br 6.463 3.136 4.069
Br 2.978 5.020 9.722
Br 3.125 9.286 9.600
Br 6.610 15.182 3.946
Br 6.815 11.389 3.726
Br 3.330 13.079 9.380


5
Lattice="4.898 0.000 0.000 0.000 4.898 0.000 0.000 0.000 4.898" Properties=species:S:1:pos:R:3 comment="PBEsol BaScRe3, relaxed" final_energy_ev_per_fu=-31.9 formation_enthalpy_0k_ev_per_atom=3.379 spacegroup="No. 221" pbc="T T T"
Ba 0.000 0.000 0.000
Sc 2.449 2.449 2.449
Re 0.000 0.000 2.449
Re 0.000 2.449 0.000
Re 2.449 0.000 0.000


5
Lattice="5.282 0.000 0.000 0.000 5.282 0.000 0.000 0.000 4.095" Properties=species:S:1:pos:R:3 comment="PBEsol RbWS2N, relaxed" raw_formation_energy_ev_per_atom=2.8404 final_energy_ev_per_fu=-17.9 spacegroup="No. 123" pbc="T T T"
Rb 0.000 0.000 0.000
W 2.641 2.641 2.047
S 0.000 2.641 0.000
S 2.641 0.000 0.000
N 0.000 0.000 2.047


5
Lattice="-2.381 2.381 6.388 2.381 -2.381 6.388 2.381 2.381 -6.388" Properties=species:S:1:pos:R:3 comment="PBEsol RbIn2Hg2, relaxed" final_energy_ev_per_fu=-9.0 relative_energy_mev_per_atom=0 formation_enthalpy_0k_ev_per_atom=-0.171 spacegroup="No. 139" pbc="T T T"
Rb 0.000 0.000 0.000
In 2.381 0.000 3.194
In 0.000 2.381 3.194
Hg 0.000 0.000 4.952
Hg 0.000 0.000 7.825


2
Lattice="3.401 0.000 0.000 0.000 3.401 0.000 0.000 0.000 5.708" Properties=species:S:1:pos:R:3 comment="PBEsol KPb, relaxed" final_energy_ev_per_fu=-5.2 relative_energy_mev_per_atom=200 formation_enthalpy_0k_ev_per_atom=-0.032 spacegroup="No. 123" pbc="T T T"
K 0.000 0.000 0.000
Pb 1.701 1.701 2.854


5
Lattice="4.354 0.000 0.000 0.000 4.354 0.000 0.000 0.000 4.354" Properties=species:S:1:pos:R:3 comment="PBEsol PtBrF3, relaxed" raw_formation_energy_ev_per_atom=0.4648 final_energy_ev_per_fu=-12.3 spacegroup="No. 221" pbc="T T T"
Pt 0.000 0.000 0.000
Br 2.177 2.177 2.177
F 0.000 2.177 2.177
F 2.177 0.000 2.177
F 2.177 2.177 0.000


28
Lattice="12.350 0.000 0.000 0.000 4.097 0.000 0.000 0.000 14.809" Properties=species:S:1:pos:R:3 comment="PBEsol SrDy2Se4, relaxed" raw_formation_energy_ev_per_atom=-1.9562 final_energy_ev_per_fu=-40.9 spacegroup="No. 62" pbc="T T T"
Sr 2.992 1.024 2.436
Sr 3.183 3.072 9.841
Sr 9.167 1.024 4.968
Sr 9.358 3.072 12.373
Dy 0.847 1.024 5.791
Dy 0.986 1.024 13.345
Dy 5.189 3.072 5.940
Dy 5.328 3.072 13.196
Dy 7.022 1.024 1.613
Dy 7.161 1.024 8.869
Dy 11.364 3.072 1.465
Dy 11.503 3.072 9.018
Se 0.273 3.072 11.606
Se 1.078 1.024 8.592
Se 1.652 3.072 0.410
Se 2.573 3.072 4.813
Se 3.602 1.024 12.218
Se 4.523 1.024 7.815
Se 5.097 3.072 1.187
Se 5.902 1.024 4.201
Se 6.448 3.072 10.608
Se 7.253 1.024 13.622
Se 7.827 3.072 6.994
Se 8.748 3.072 2.591
Se 9.777 1.024 9.996
Se 10.698 1.024 14.399
Se 11.272 3.072 6.218
Se 12.077 1.024 3.203


4
Lattice="0.000 3.453 3.453 3.453 0.000 3.453 3.453 3.453 0.000" Properties=species:S:1:pos:R:3 comment="PBEsol ScAlCl2, relaxed" raw_formation_energy_ev_per_atom=-0.2737 final_energy_ev_per_fu=-15.8 relative_energy_mev_per_atom=692 spacegroup="No. 216" pbc="T T T"
Sc 0.000 0.000 0.000
Al 5.180 5.180 5.180
Cl 1.727 1.727 1.727
Cl 3.453 3.453 3.453


4
Lattice="-1.709 2.462 5.530 1.709 -2.462 5.530 1.709 2.462 -5.530" Properties=species:S:1:pos:R:3 comment="PBEsol La2AlRu, relaxed" final_energy_ev_per_fu=-25.8 formation_enthalpy_0k_ev_per_atom=-0.219 spacegroup="No. 44" pbc="T T T"
La 0.000 0.000 0.000
La 0.000 2.462 2.187
Al 1.709 0.000 3.311
Ru 0.000 0.000 5.143


28
Lattice="8.140 0.000 0.000 0.000 7.328 0.000 -1.001 0.000 11.824" Properties=species:S:1:pos:R:3 comment="PBEsol Cs3TlO3, relaxed" raw_formation_energy_ev_per_atom=-1.1154 final_energy_ev_per_fu=-29.0 relative_energy_mev_per_atom=0 spacegroup="No. 14" pbc="T T T"
Cs 0.235 0.948 1.856
Cs -0.265 2.716 7.768
Cs 1.925 1.256 10.976
Cs 2.426 2.407 5.064
Cs 2.241 4.995 9.551
Cs 2.742 5.997 3.639
Cs 4.398 1.331 8.186
Cs 4.898 2.333 2.273
Cs 4.714 4.920 6.760
Cs 5.214 6.071 0.848
Cs 7.404 4.612 4.056
Cs 6.904 6.380 9.968
Tl 1.248 4.332 0.833
Tl 0.748 6.660 6.745
Tl 6.392 0.668 5.079
Tl 5.891 2.996 10.991
O 0.457 0.318 4.758
O -0.044 3.346 10.670
O 1.523 4.712 6.377
O 2.024 6.280 0.465
O 1.690 0.420 8.308
O 2.191 3.244 2.396
O 4.949 4.083 9.429
O 5.449 6.908 3.516
O 5.116 1.048 11.359
O 5.616 2.616 5.447
O 7.183 3.982 1.154
O 6.683 7.010 7.066


4
Lattice="1.569 0.906 8.582 -1.569 0.906 8.582 0.000 -1.811 8.582" Properties=species:S:1:pos:R:3 comment="PBEsol Sb2MoW, relaxed" raw_formation_energy_ev_per_atom=0.5431 final_energy_ev_per_fu=-32.5 relative_energy_mev_per_atom=0 spacegroup="No. 166" pbc="T T T"
Sb 0.000 0.000 6.417
Sb 0.000 0.000 19.328
Mo 0.000 0.000 12.873
W 0.000 0.000 0.000


6
Lattice="4.885 0.000 0.000 -2.442 4.230 0.000 0.000 0.000 5.641" Properties=species:S:1:pos:R:3 comment="PBEsol Cd2P, relaxed" final_energy_ev_per_fu=-7.5 relative_energy_mev_per_atom=56 formation_enthalpy_0k_ev_per_atom=0.230 spacegroup="No. 194" pbc="T T T"
Cd 0.000 0.000 0.000
Cd 0.000 0.000 2.820
Cd 0.000 2.820 1.410
Cd 2.442 1.410 4.231
P 0.000 2.820 4.231
P 2.442 1.410 1.410


4
Lattice="-1.816 1.816 3.646 1.816 -1.816 3.646 1.816 1.816 -3.646" Properties=species:S:1:pos:R:3 comment="PBEsol Cr2PRh, relaxed" final_energy_ev_per_fu=-35.2 formation_enthalpy_0k_ev_per_atom=-0.194 spacegroup="No. 119" pbc="T T T"
Cr 0.000 0.000 0.000
Cr 0.000 1.816 1.823
P 0.000 0.000 3.646
Rh 1.816 0.000 1.823


5
Lattice="4.329 0.000 0.000 0.000 4.329 0.000 0.000 0.000 4.329" Properties=species:S:1:pos:R:3 comment="PBEsol YPtF3, relaxed" raw_formation_energy_ev_per_atom=-2.1777 final_energy_ev_per_fu=-30.5 spacegroup="No. 221" pbc="T T T"
Y 0.000 0.000 0.000
Pt 2.165 2.165 2.165
F 0.000 0.000 2.165
F 0.000 2.165 0.000
F 2.165 0.000 0.000


4
Lattice="5.022 0.000 0.000 0.000 5.022 0.000 0.000 0.000 5.022" Properties=species:S:1:pos:R:3 comment="PBEsol Pm3Y, relaxed" final_energy_ev_per_fu=-22.2 relative_energy_mev_per_atom=0 formation_enthalpy_0k_ev_per_atom=0.006 spacegroup="No. 221" pbc="T T T"
Pm 0.000 0.000 2.511
Pm 0.000 2.511 0.000
Pm 2.511 0.000 0.000
Y 2.511 2.511 2.511


5
Lattice="4.966 0.000 0.000 0.000 4.966 0.000 0.000 0.000 4.899" Properties=species:S:1:pos:R:3 comment="PBEsol CdFeRhI2, relaxed" raw_formation_energy_ev_per_atom=1.0539 final_energy_ev_per_fu=-16.6 spacegroup="No. 123" pbc="T T T"
Cd 0.000 0.000 0.000
Fe 0.000 0.000 2.449
Rh 2.483 2.483 0.000
I 0.000 2.483 2.449
I 2.483 0.000 2.449


4
Lattice="5.458 -1.565 0.000 5.458 1.565 0.000 -1.584 0.000 4.885" Properties=species:S:1:pos:R:3 comment="PBEsol BaTlRh2, relaxed" final_energy_ev_per_fu=-20.3 formation_enthalpy_0k_ev_per_atom=0.187 spacegroup="No. 8" pbc="T T T"
Ba 0.000 0.000 0.000
Tl 1.292 0.000 3.082
Rh 4.272 0.000 2.366
Rh 8.110 0.000 0.916


5
Lattice="4.017 0.000 0.000 0.000 4.017 0.000 0.000 0.000 4.017" Properties=species:S:1:pos:R:3 comment="PBEsol Cu3HF, relaxed" final_energy_ev_per_fu=-14.8 spacegroup="No. 221" pbc="T T T"
Cu 0.000 0.000 2.008
Cu 0.000 2.008 0.000
Cu 2.008 0.000 0.000
H 2.008 2.008 2.008
F 0.000 0.000 0.000


4
Lattice="-1.790 1.790 3.598 1.790 -1.790 3.598 1.790 1.790 -3.598" Properties=species:S:1:pos:R:3 comment="PBEsol MnFe2W, relaxed" final_energy_ev_per_fu=-41.1 relative_energy_mev_per_atom=28 formation_enthalpy_0k_ev_per_atom=0.087 spacegroup="No. 139" pbc="T T T"
Mn 0.000 0.000 0.000
Fe 1.790 0.000 1.799
Fe 0.000 1.790 1.799
W 0.000 0.000 3.598


4
Lattice="1.461 0.844 9.361 -1.461 0.844 9.361 0.000 -1.687 9.361" Properties=species:S:1:pos:R:3 comment="PBEsol Ta2InRh, relaxed" final_energy_ev_per_fu=-36.1 formation_enthalpy_0k_ev_per_atom=0.026 spacegroup="No. 166" pbc="T T T"
Ta 0.000 0.000 6.842
Ta 0.000 0.000 21.241
In 0.000 0.000 0.000
Rh 0.000 0.000 14.041


Record order is preserved below.
Calculated volume: 28.659 23.496 22.850 28.969 33.014 16.508 26.759 20.590 23.276 25.190 18.290 19.428 12.020 16.229 31.667 24.165 20.868 12.962 11.530 17.308 A^3/atom